(1)
Here is a relaxed HgTeCl2 crystal from Alexandria. Energies are from PBE.

Unit cell a=5.466 b=5.466 c=3.308 alpha=90.00 beta=90.00 gamma=90.00
Space group P4/mmm (No. 123)
Inequivalent atoms, fractional coordinates:
Hg 0.000 0.000 0.000 [1 per cell]
Te 0.500 0.500 0.000 [1 per cell]
Cl 0.000 0.500 0.500 [2 per cell]

Values from the calculation:
Energy above the most stable polymorph in this dataset = 483.1 meV/atom
Crystal system = tetragonal
Energy relative to the elements, uncorrected = 59 kJ/mol of formula units

(2)
Here is a relaxed MgCu2Ag2 crystal from Alexandria. Energies are from PBE.

Unit cell a=6.948 b=6.948 c=3.397 alpha=90.00 beta=90.00 gamma=90.00
Space group P4/mbm (No. 127)
Inequivalent atoms, fractional coordinates:
Mg 0.000 0.000 0.000 [2 per cell]
Cu 0.125 0.375 0.000 [4 per cell]
Ag 0.172 0.672 0.500 [4 per cell]

Values from the calculation:
Energy above the most stable polymorph in this dataset = 0.0 meV/atom
Crystal system = tetragonal
Calculated formation energy = 0.1 eV per formula unit

(3)
Here is a relaxed PmTm2Tl crystal from Alexandria. Energies are from PBE.

Unit cell a=3.623 b=3.623 c=9.025 alpha=90.00 beta=90.00 gamma=90.00
Space group P4/mmm (No. 123)
Inequivalent atoms, fractional coordinates:
Pm 0.000 0.000 0.000 [1 per cell]
Tm 0.500 0.500 0.275 [2 per cell]
Tl 0.000 0.000 0.500 [1 per cell]

Values from the calculation:
Energy above the most stable polymorph in this dataset = 2.5 meV/atom
Crystal system = tetragonal
Calculated formation energy = -0.7 eV per formula unit

(4)
Here is a relaxed Si2HgRh crystal from Alexandria. Energies are from PBE.

Unit cell a=4.276 b=4.276 c=3.573 alpha=90.00 beta=90.00 gamma=90.00
Space group P4/mmm (No. 123)
Inequivalent atoms, fractional coordinates:
Si 0.000 0.500 0.000 [2 per cell]
Hg 0.000 0.000 0.500 [1 per cell]
Rh 0.500 0.500 0.500 [1 per cell]

Values from the calculation:
Crystal system = tetragonal
Energy relative to the elements, uncorrected = 136 kJ/mol of formula units

(5)
Here is a relaxed Tb2Er3Tm3 crystal from Alexandria. Energies are from PBE.

Unit cell a=8.9874 b=8.9874 c=10.9955 alpha=90.00 beta=90.00 gamma=120.00
Space group R32 (No. 155, hexagonal axes)
Inequivalent atoms, fractional coordinates:
Tb 0.0000 0.0000 0.2504 [6 per cell]
Er 0.0000 0.7494 0.0000 [9 per cell]
Tm 0.0000 0.2496 0.5000 [9 per cell]

Values from the calculation:
Energy above the most stable polymorph in this dataset = 239.5 meV/atom
Crystal system = trigonal
Calculated formation energy = 2.1 eV per formula unit

(6)
Here is a relaxed Zr2MnRe crystal from Alexandria. Energies are from PBE.

Unit cell a=3.002 b=4.594 c=5.278 alpha=90.00 beta=101.79 gamma=90.00
Space group Pm (No. 6)
Inequivalent atoms, fractional coordinates:
Zr 0.000 0.000 0.000 [1 per cell]
Zr 0.282 0.500 0.705 [1 per cell]
Mn 0.718 0.500 0.237 [1 per cell]
Re 0.536 0.000 0.485 [1 per cell]

Values from the calculation:
Crystal system = monoclinic
Calculated formation energy = 0.4 eV per formula unit

E_tot
In order: -1.631 -3.068 -4.185 -4.274 -4.282 -9.581
Unit: eV per atom